Below is LiZr4N4Cl4 after structural relaxation, with properties calculated at the PBE level.

Values from the calculation:
SG: R-3m
Total magnetization, μB per formula unit: 0.00
Volume, Å³ per atom: 17.82
Density of states at the Fermi level, states/eV per atom: 0.433
Formation energy (no corrections), eV per atom: -1.674

Geometry as extended XYZ:
```
13
Lattice="1.845 1.065 19.638 -1.845 1.065 19.638 0.000 -2.131 19.638" Properties=species:S:1:pos:R:3 pbc="T T T"
Li 0.000 0.000 0.000
Zr 0.000 0.000 6.192
Zr 0.000 0.000 23.353
Zr 0.000 0.000 35.562
Zr 0.000 0.000 52.723
N 0.000 0.000 3.939
N 0.000 0.000 25.437
N 0.000 0.000 33.478
N 0.000 0.000 54.976
Cl 0.000 0.000 11.649
Cl 0.000 0.000 18.182
Cl 0.000 0.000 40.733
Cl 0.000 0.000 47.266
```